# 1
{
  "formula": "CsK5S",
  "functional": "PBE-GGA",
  "state": "optimized geometry",
  "formation_energy_uncorrected_ev_per_atom": -0.382,
  "crystal_system": "monoclinic",
  "space_group": "C2/c",
  "lattice": [[7.811, -5.832, 0.000], [7.811, 5.832, 0.000], [-4.880, 0.000, 11.325]],
  "species": ["Cs", "Cs", "K", "K", "K", "K", "K", "K", "K", "K", "K", "K", "S", "S"],
  "fractional_positions": [[0.000, 0.000, 0.250], [0.000, 0.000, 0.750], [0.164, 0.529, 0.422], [0.164, 0.538, 0.926], [0.462, 0.836, 0.574], [0.471, 0.836, 0.078], [0.498, 0.502, 0.750], [0.502, 0.498, 0.250], [0.529, 0.164, 0.922], [0.538, 0.164, 0.426], [0.836, 0.462, 0.074], [0.836, 0.471, 0.578], [0.500, 0.500, 0.000], [0.500, 0.500, 0.500]]
}



# 2
{
  "formula": "Cs2K4S",
  "functional": "PBE-GGA",
  "state": "optimized geometry",
  "formation_energy_uncorrected_ev_per_atom": -0.385,
  "de_polymorph_mev_per_atom": 9.4,
  "crystal_system": "orthorhombic",
  "space_group": "Cmmm",
  "lattice": [[4.427, -12.385, 0.000], [4.427, 12.385, 0.000], [0.000, 0.000, 4.845]],
  "species": ["Cs", "Cs", "K", "K", "K", "K", "S"],
  "fractional_positions": [[0.190, 0.810, 0.000], [0.810, 0.190, 0.000], [0.280, 0.280, 0.000], [0.377, 0.623, 0.500], [0.623, 0.377, 0.500], [0.720, 0.720, 0.000], [0.500, 0.500, 0.500]]
}



# 3
{
  "formula": "CsKS2",
  "functional": "PBE-GGA",
  "state": "optimized geometry",
  "formation_energy_uncorrected_ev_per_atom": -0.874,
  "de_polymorph_mev_per_atom": 0.0,
  "crystal_system": "tetragonal",
  "space_group": "P4_1",
  "lattice": [[4.939, 0.000, 0.000], [0.000, 4.939, 0.000], [0.000, 0.000, 22.909]],
  "species": ["Cs", "Cs", "Cs", "Cs", "K", "K", "K", "K", "S", "S", "S", "S", "S", "S", "S", "S"],
  "fractional_positions": [[0.158, 0.720, 0.000], [0.280, 0.158, 0.250], [0.720, 0.842, 0.750], [0.842, 0.280, 0.500], [0.161, 0.323, 0.870], [0.323, 0.839, 0.620], [0.677, 0.161, 0.120], [0.839, 0.677, 0.370], [0.059, 0.660, 0.145], [0.188, 0.340, 0.721], [0.340, 0.059, 0.395], [0.340, 0.812, 0.471], [0.660, 0.188, 0.971], [0.660, 0.941, 0.895], [0.812, 0.660, 0.221], [0.941, 0.340, 0.645]]
}



# 4
{
  "formula": "CsKS2",
  "functional": "PBE-GGA",
  "state": "optimized geometry",
  "formation_energy_uncorrected_ev_per_atom": -0.572,
  "de_polymorph_mev_per_atom": 302.3,
  "crystal_system": "tetragonal",
  "space_group": "I-42d",
  "lattice": [[-2.635, 2.635, 10.334], [2.635, -2.635, 10.334], [2.635, 2.635, -10.334]],
  "species": ["Cs", "Cs", "K", "K", "S", "S", "S", "S"],
  "fractional_positions": [[0.000, 0.000, 0.000], [0.750, 0.250, 0.500], [0.250, 0.750, 0.500], [0.500, 0.500, 0.000], [0.320, 0.625, 0.195], [0.375, 0.570, 0.695], [0.430, 0.125, 0.805], [0.875, 0.680, 0.305]]
}



# 5
{
  "formula": "Cs8KS2",
  "functional": "PBE-GGA",
  "state": "optimized geometry",
  "formation_energy_uncorrected_ev_per_atom": -0.519,
  "crystal_system": "orthorhombic",
  "space_group": "Immm",
  "lattice": [[-3.506, 7.779, 8.247], [3.506, -7.779, 8.247], [3.506, 7.779, -8.247]],
  "species": ["Cs", "Cs", "Cs", "Cs", "Cs", "Cs", "Cs", "Cs", "K", "S", "S"],
  "fractional_positions": [[0.136, 0.136, 0.000], [0.174, 0.500, 0.674], [0.176, 0.858, 0.318], [0.459, 0.142, 0.318], [0.541, 0.858, 0.682], [0.824, 0.142, 0.682], [0.826, 0.500, 0.326], [0.864, 0.864, 0.000], [0.500, 0.500, 0.000], [0.165, 0.000, 0.165], [0.835, 0.000, 0.835]]
}



# 6
{
  "formula": "Cs3KS4",
  "functional": "PBE-GGA",
  "state": "optimized geometry",
  "formation_energy_uncorrected_ev_per_atom": -0.895,
  "crystal_system": "orthorhombic",
  "space_group": "Immm",
  "lattice": [[-2.629, 3.139, 9.429], [2.629, -3.139, 9.429], [2.629, 3.139, -9.429]],
  "species": ["Cs", "Cs", "Cs", "K", "S", "S", "S", "S"],
  "fractional_positions": [[0.000, 0.000, 0.000], [0.299, 0.799, 0.500], [0.701, 0.201, 0.500], [0.500, 0.500, 0.000], [0.046, 0.377, 0.669], [0.292, 0.623, 0.669], [0.708, 0.377, 0.331], [0.954, 0.623, 0.331]]
}



# 7
{
  "formula": "CsKS2",
  "functional": "PBE-GGA",
  "state": "optimized geometry",
  "formation_energy_uncorrected_ev_per_atom": -0.145,
  "de_polymorph_mev_per_atom": 728.8,
  "crystal_system": "trigonal",
  "space_group": "R-3m",
  "lattice": [[2.600, 1.501, 8.173], [-2.600, 1.501, 8.173], [0.000, -3.002, 8.173]],
  "species": ["Cs", "K", "S", "S"],
  "fractional_positions": [[0.000, 0.000, 0.000], [0.500, 0.500, 0.500], [0.110, 0.110, 0.110], [0.890, 0.890, 0.890]]
}



# 8
{
  "formula": "CsK3S",
  "functional": "PBE-GGA",
  "state": "optimized geometry",
  "formation_energy_uncorrected_ev_per_atom": -0.492,
  "de_polymorph_mev_per_atom": 0.0,
  "crystal_system": "cubic",
  "space_group": "Pm-3m",
  "lattice": [[6.481, 0.000, 0.000], [0.000, 6.481, 0.000], [0.000, 0.000, 6.481]],
  "species": ["Cs", "K", "K", "K", "S"],
  "fractional_positions": [[0.000, 0.000, 0.000], [0.000, 0.500, 0.500], [0.500, 0.000, 0.500], [0.500, 0.500, 0.000], [0.500, 0.500, 0.500]]
}